No. 1
Sm3Al3Cu: optimized geometry, GGA-PBE.

Cell lengths 4.534, 5.867, 13.918 Å; angles 85.99, 80.63, 67.27 degrees
Atoms (fractional coordinates):
Sm 0.536 0.310 0.618
Sm 0.246 0.279 0.230
Sm 0.402 0.277 0.919
Sm 0.598 0.723 0.081
Sm 0.464 0.690 0.382
Sm 0.754 0.721 0.770
Al 0.138 0.262 0.461
Al 0.110 0.856 0.923
Al 0.946 0.869 0.239
Al 0.890 0.144 0.077
Al 0.054 0.131 0.761
Al 0.862 0.738 0.539
Cu 0.748 0.104 0.401
Cu 0.252 0.896 0.599

Values from the calculation:
E_form: -0.36 eV per atom
Total magnetization: 0.00 μB per formula unit
DFT total energy: -64.0 eV per cell

No. 2
Sm2Al5Cu3: optimized geometry, GGA-PBE.

Cell lengths 4.257, 4.257, 10.296 Å; angles 90.00, 90.00, 90.00 degrees
Atoms (fractional coordinates):
Cu 0.000 0.000 0.500
Cu 0.500 0.000 0.614
Cu 0.000 0.500 0.386
Al 0.500 0.000 0.842
Al 0.000 0.500 0.158
Al 0.000 0.000 0.000
Al 0.500 0.500 0.500
Al 0.500 0.500 0.000
Sm 0.500 0.000 0.263
Sm 0.000 0.500 0.737

Values from the calculation:
E_form: -0.34 eV per atom
Total magnetization: 0.00 μB per formula unit
DFT total energy: -43.8 eV per cell